(1)
12
Lattice="5.265 0.107 -0.004 0.146 4.462 -0.004 0.005 0.007 7.015" Properties=species:S:1:pos:R:3 comment="NaTaPb2O8 PBE-GGA relaxed" dft_energy_ev_per_atom=-6.3347 space_group="No. 10" raw_formation_energy_ev_per_atom=-1.314 pbc="T T T"
O 4.486 1.135 5.489
O 3.154 3.912 3.502
O 2.261 0.665 3.505
O 0.929 3.441 1.518
O 0.931 3.445 5.490
O 4.484 1.131 1.517
O 3.723 3.439 7.009
O 1.691 1.137 -0.002
Ta 0.000 0.000 0.000
Pb 2.709 2.290 5.384
Pb 2.706 2.286 1.623
Na 0.002 0.004 3.507

(2)
20
Lattice="5.667 0.000 -0.018 0.000 5.784 0.000 0.024 0.000 8.061" Properties=species:S:1:pos:R:3 comment="Na2TaPbO6 PBE-GGA relaxed" dft_energy_ev_per_atom=-6.5000 space_group="No. 14" raw_formation_energy_ev_per_atom=-1.705 pbc="T T T"
O 1.751 4.165 3.611
O 4.596 4.511 7.632
O 5.137 3.047 1.898
O 3.375 0.156 2.105
O 1.094 1.273 0.411
O 4.095 1.759 7.673
O 1.250 1.133 3.652
O 4.440 4.651 4.391
O 2.315 5.628 5.937
O 3.939 1.619 4.432
O 1.595 4.025 0.370
O 0.554 2.736 6.145
Pb 2.833 0.000 -0.009
Pb 0.012 2.892 4.030
Na 2.785 2.689 2.004
Na 5.630 0.203 6.025
Na 0.060 5.581 2.017
Na 2.905 3.095 6.039
Ta 2.845 0.000 4.021
Ta 0.000 2.892 0.000

(3)
10
Lattice="5.827 0.000 0.001 2.913 5.046 0.000 2.914 1.682 5.206" Properties=species:S:1:pos:R:3 comment="NaTb2PbO6 PBE-GGA relaxed" dft_energy_ev_per_atom=-6.5609 space_group="No. 146" raw_formation_energy_ev_per_atom=-2.157 pbc="T T T"
Tb 2.914 1.682 4.939
Tb 5.827 3.364 2.234
O 6.515 4.831 3.931
O 6.754 2.034 3.931
O 4.212 3.226 3.931
O 4.728 5.089 1.239
O 4.881 1.549 1.239
O 7.871 3.452 1.239
Na 8.741 5.045 3.100
Pb 2.914 1.682 0.328

(4)
11
Lattice="5.968 -0.043 0.126 -2.987 5.167 0.126 -0.997 -1.714 5.597" Properties=species:S:1:pos:R:3 comment="Na2Tb2PbO6 PBE-GGA relaxed" dft_energy_ev_per_atom=-6.3503 space_group="No. 12" raw_formation_energy_ev_per_atom=-2.227 pbc="T T T"
O 0.448 0.770 1.720
O 3.551 2.613 1.861
O 1.536 2.640 4.130
O -1.568 0.797 3.989
O 0.516 4.379 1.861
O 1.468 -0.969 3.989
Tb -0.487 2.565 2.925
Tb 2.471 0.845 2.925
Na -1.547 4.329 0.126
Na 4.528 0.795 0.126
Pb -0.499 -0.857 2.799

(5)
16
Lattice="6.926 0.000 0.000 0.000 6.910 -0.014 -3.463 -3.459 4.901" Properties=species:S:1:pos:R:3 comment="Na4Tb3PbO8 PBE-GGA relaxed" dft_energy_ev_per_atom=-6.2724 space_group="No. 166" raw_formation_energy_ev_per_atom=-2.364 pbc="T T T"
O 0.000 0.187 2.581
O 3.463 0.178 2.494
O 5.137 1.851 0.125
O 3.463 3.264 2.305
O -1.674 1.600 4.762
O 1.674 1.600 4.762
O 0.000 3.273 2.393
O 1.789 1.851 0.125
Na 0.000 0.000 0.000
Na 3.463 0.000 0.000
Na -1.731 -1.730 2.450
Na 1.731 -1.730 2.450
Tb 1.731 1.725 2.443
Tb 3.463 3.455 -0.007
Tb -1.731 1.725 2.443
Pb 0.000 3.455 -0.007

(6)
8
Lattice="-0.755 0.098 3.405 -4.718 -3.597 -0.944 4.858 -3.335 1.173" Properties=species:S:1:pos:R:3 comment="Na2TbPbO4 PBE-GGA relaxed" dft_energy_ev_per_atom=-5.7993 space_group="No. 10" raw_formation_energy_ev_per_atom=-1.948 pbc="T T T"
Pb 0.000 0.000 0.000
O 2.512 -3.595 0.660
O -0.466 -1.600 1.730
O -0.150 -5.234 1.905
O -2.373 -3.337 -0.431
Tb -2.737 -1.749 1.231
Na 0.070 -3.466 0.115
Na 2.051 -1.619 2.289

(7)
12
Lattice="6.005 0.003 -0.003 -2.999 5.202 -0.003 -1.005 -1.741 5.650" Properties=species:S:1:pos:R:3 comment="Na3Tb2PbO6 PBE-GGA relaxed" dft_energy_ev_per_atom=-6.1063 space_group="No. 12" raw_formation_energy_ev_per_atom=-2.217 pbc="T T T"
Na 4.031 -0.018 2.822
Na 1.000 1.732 2.822
Na -2.030 3.482 2.822
Pb 0.000 0.000 0.000
O -1.039 1.806 1.235
O 3.040 1.658 4.410
O 2.083 0.003 1.235
O 0.040 0.069 4.401
O -0.083 3.462 4.410
O 1.961 3.396 1.244
Tb 3.004 1.735 -0.003
Tb 0.001 3.470 -0.003

(8)
15
Lattice="-5.603 -0.003 -4.003 5.903 -2.668 -2.338 -3.525 -3.239 4.936" Properties=species:S:1:pos:R:3 comment="Na3Tb3PbO8 PBE-GGA relaxed" dft_energy_ev_per_atom=-6.4686 space_group="No. 166" raw_formation_energy_ev_per_atom=-2.387 pbc="T T T"
O -2.151 -2.394 -2.910
O -1.074 -3.514 1.506
O -3.828 -3.533 -0.563
O -0.919 -4.905 -1.795
O 1.999 -4.903 0.289
O -5.225 -1.006 -1.693
O -2.307 -1.004 0.391
O 0.602 -2.376 -0.841
Na 2.951 -1.334 -1.169
Na 0.000 0.000 0.000
Na 0.150 -1.335 -3.170
Pb -1.763 -1.619 2.468
Tb 1.189 -2.953 1.299
Tb -4.564 -1.621 0.467
Tb -1.613 -2.954 -0.702